1.
DFT (PBEsol) results for a relaxed YBe4Sb crystal.

Geometry as CIF:
```
data_YBe4Sb
_symmetry_space_group_name_H-M 'P 1'
_symmetry_Int_Tables_number 1
_cell_length_a 4.9873
_cell_length_b 4.9873
_cell_length_c 4.9873
_cell_angle_alpha 60.00
_cell_angle_beta 60.00
_cell_angle_gamma 60.00
loop_
_symmetry_equiv_pos_as_xyz
'x,y,z'
loop_
_atom_site_label
_atom_site_type_symbol
_atom_site_fract_x
_atom_site_fract_y
_atom_site_fract_z
_atom_site_occupancy
Y1 Y 0.0000 0.0000 0.0000 1
Sb1 Sb 0.7500 0.7500 0.7500 1
Be1 Be 0.3678 0.3678 0.3678 1
Be2 Be 0.3678 0.3678 0.8966 1
Be3 Be 0.8966 0.3678 0.3678 1
Be4 Be 0.3678 0.8966 0.3678 1
```

Results
- total moment (μB/atom) = 0.00
- V (Å³/cell) = 87.72
- total DFT energy (no corrections) (eV/f.u.) = -25.71
- E_form (uncorrected) (meV per atom) = 278
- space group = F-43m, No. 216



2.
DFT (PBEsol) results for a relaxed La2GaN3 crystal.

Geometry as CIF:
```
data_La2GaN3
_symmetry_space_group_name_H-M 'P 1'
_symmetry_Int_Tables_number 1
_cell_length_a 5.6427
_cell_length_b 6.1190
_cell_length_c 11.8990
_cell_angle_alpha 88.26
_cell_angle_beta 86.22
_cell_angle_gamma 62.54
loop_
_symmetry_equiv_pos_as_xyz
'x,y,z'
loop_
_atom_site_label
_atom_site_type_symbol
_atom_site_fract_x
_atom_site_fract_y
_atom_site_fract_z
_atom_site_occupancy
La1 La 0.4444 0.5861 0.1516 1
La2 La 0.9694 0.5861 0.3484 1
La3 La 0.1344 0.2107 0.0747 1
La4 La 0.6548 0.2107 0.4253 1
La5 La 0.5556 0.4139 0.8484 1
La6 La 0.3452 0.7893 0.5747 1
La7 La 0.0306 0.4139 0.6516 1
La8 La 0.8656 0.7893 0.9253 1
Ga1 Ga 0.2716 0.9970 0.3377 1
Ga2 Ga 0.7314 0.9970 0.1623 1
Ga3 Ga 0.2686 0.0030 0.8377 1
Ga4 Ga 0.7284 0.0030 0.6623 1
N1 N 0.6816 0.2016 0.0272 1
N2 N 0.9910 0.0179 0.7500 1
N3 N 0.0090 0.9821 0.2500 1
N4 N 0.3979 0.2042 0.2500 1
N5 N 0.6021 0.7958 0.7500 1
N6 N 0.1168 0.2016 0.4728 1
N7 N 0.3184 0.7984 0.9728 1
N8 N 0.4963 0.3569 0.6296 1
N9 N 0.8531 0.6431 0.1296 1
N10 N 0.5037 0.6431 0.3704 1
N11 N 0.8832 0.7984 0.5272 1
N12 N 0.1469 0.3569 0.8704 1
```

Results
- total moment (μB/atom) = 0.00
- V (Å³/cell) = 363.77
- total DFT energy (no corrections) (eV/f.u.) = -46.80
- E_form (uncorrected) (meV per atom) = -1199
- space group = C2/c, No. 15



3.
DFT (PBEsol) results for a relaxed AgPbSe2 crystal.

Geometry as CIF:
```
data_AgPbSe2
_symmetry_space_group_name_H-M 'P 1'
_symmetry_Int_Tables_number 1
_cell_length_a 3.0727
_cell_length_b 3.0727
_cell_length_c 9.6682
_cell_angle_alpha 90.00
_cell_angle_beta 90.00
_cell_angle_gamma 99.69
loop_
_symmetry_equiv_pos_as_xyz
'x,y,z'
loop_
_atom_site_label
_atom_site_type_symbol
_atom_site_fract_x
_atom_site_fract_y
_atom_site_fract_z
_atom_site_occupancy
Ag1 Ag 0.0000 0.0000 0.5125 1
Pb1 Pb 0.5000 0.5000 0.2705 1
Se1 Se 0.0000 0.0000 0.0145 1
Se2 Se 0.5000 0.5000 0.7025 1
```

Results
- total moment (μB/atom) = 0.00
- V (Å³/cell) = 89.98
- total DFT energy (no corrections) (eV/f.u.) = -14.11
- E_form (uncorrected) (meV per atom) = 226
- space group = Cmm2, No. 35



4.
DFT (PBEsol) results for a relaxed CaAu3 crystal.

Geometry as CIF:
```
data_CaAu3
_symmetry_space_group_name_H-M 'P 1'
_symmetry_Int_Tables_number 1
_cell_length_a 4.2325
_cell_length_b 4.2325
_cell_length_c 4.2325
_cell_angle_alpha 90.00
_cell_angle_beta 90.00
_cell_angle_gamma 90.00
loop_
_symmetry_equiv_pos_as_xyz
'x,y,z'
loop_
_atom_site_label
_atom_site_type_symbol
_atom_site_fract_x
_atom_site_fract_y
_atom_site_fract_z
_atom_site_occupancy
Ca1 Ca 0.0000 0.0000 0.0000 1
Au1 Au 0.0000 0.5000 0.5000 1
Au2 Au 0.5000 0.0000 0.5000 1
Au3 Au 0.5000 0.5000 0.0000 1
```

Results
- total moment (μB/atom) = 0.00
- V (Å³/cell) = 75.82
- total DFT energy (no corrections) (eV/f.u.) = -15.78
- energy relative to the elements (eV/atom) = -0.47
- space group = Pm-3m, No. 221